This record from Alexandria via LeMat-Bulk describes Tb8Bi3Te4Pb after structural relaxation. The functional is PBE.

a b c (Å): 8.895 8.857 8.895
angles (deg): 120.14 120.00 90.00
Element x y z (fractional)
Tb (0.754, 0.255, 0.508)
Tb (0.246, 0.745, 0.492)
Bi (0.500, 0.500, 0.500)
Tb (0.247, 0.255, 0.001)
Tb (0.749, 0.748, 0.498)
Tb (0.754, 0.255, 0.001)
Te (0.000, 0.000, 0.000)
Bi (0.500, 0.500, 0.000)
Te (0.500, 0.000, 0.000)
Bi (0.000, 0.500, 0.500)
Tb (0.251, 0.252, 0.502)
Pb (0.000, 0.500, 0.000)
Tb (0.753, 0.745, 0.999)
Te (0.000, 0.000, 0.500)
Te (0.500, 0.000, 0.500)
Tb (0.246, 0.745, 0.999)

Computed properties:
As for the space-group type: No. 166. For the density, the calculation gives 8.8 g/cm³. For the calculated volume, the calculation gives 30.91 Å³ per atom. The calculation puts the formation energy from raw total energies at -1082 meV per atom.